A geometry-optimized ScAlIn structure, computed with PBE-GGA. Values from VASP.

Structure (Quantum ESPRESSO input):
```
&SYSTEM
  ibrav = 0, nat = 3, ntyp = 3
/
ATOMIC_SPECIES
Sc 44.96 Sc.upf
Al 26.98 Al.upf
In 114.82 In.upf
CELL_PARAMETERS angstrom
4.609 0.000 0.000
2.304 3.991 0.000
2.304 1.330 3.763
ATOMIC_POSITIONS crystal
Sc 0.500 0.500 0.500
Al 0.750 0.750 0.750
In 0.000 0.000 0.000
```

Computed properties:
Spin magnetization = 0.00 μB per formula unit
Symmetry = F-43m
DFT formation energy = -12.3 kJ/mol of atoms


A geometry-optimized YAl2As structure, computed with PBE-GGA. Values from VASP.

Structure (Quantum ESPRESSO input):
```
&SYSTEM
  ibrav = 0, nat = 4, ntyp = 3
/
ATOMIC_SPECIES
Y 88.91 Y.upf
As 74.92 As.upf
Al 26.98 Al.upf
CELL_PARAMETERS angstrom
-4.022 -2.100 -3.006
1.659 -3.642 -3.688
0.759 0.720 5.341
ATOMIC_POSITIONS crystal
Y 0.739 0.239 0.500
As 0.489 0.489 0.000
Al 0.996 0.996 0.000
Al 0.275 0.775 0.500
```

Computed properties:
Spin magnetization = 0.00 μB per formula unit
Symmetry = Imm2
DFT formation energy = -43.8 kJ/mol of atoms


A geometry-optimized KCdPS4 structure, computed with PBE-GGA. Values from VASP.

Structure (Quantum ESPRESSO input):
```
&SYSTEM
  ibrav = 0, nat = 14, ntyp = 4
/
ATOMIC_SPECIES
K 39.10 K.upf
Cd 112.41 Cd.upf
P 30.97 P.upf
S 32.06 S.upf
CELL_PARAMETERS angstrom
6.284 0.000 -0.014
0.000 6.836 0.000
-2.483 0.000 8.244
ATOMIC_POSITIONS crystal
K 0.750 0.750 0.934
K 0.250 0.250 0.066
Cd 0.774 0.750 0.452
Cd 0.226 0.250 0.548
P 0.212 0.750 0.323
P 0.788 0.250 0.677
S 0.005 0.486 0.710
S 0.995 0.986 0.290
S 0.995 0.514 0.290
S 0.005 0.014 0.710
S 0.384 0.750 0.157
S 0.616 0.250 0.843
S 0.426 0.750 0.554
S 0.574 0.250 0.446
```

Computed properties:
Energy relative to the elements, uncorrected = -14.3 kcal/mol of atoms
Spin magnetization = 0.00 μB per formula unit
Symmetry = P2_1/m


A geometry-optimized MgCu3Se structure, computed with PBE-GGA. Values from VASP.

Structure (Quantum ESPRESSO input):
```
&SYSTEM
  ibrav = 0, nat = 5, ntyp = 3
/
ATOMIC_SPECIES
Mg 24.30 Mg.upf
Cu 63.55 Cu.upf
Se 78.96 Se.upf
CELL_PARAMETERS angstrom
4.632 0.000 0.000
0.000 4.632 0.000
0.000 0.000 4.632
ATOMIC_POSITIONS crystal
Mg 0.500 0.500 0.500
Cu 0.000 0.500 0.000
Cu 0.000 0.000 0.500
Cu 0.500 0.000 0.000
Se 0.000 0.000 0.000
```

Computed properties:
Energy above the lowest structure with this stoichiometry = 605 meV per atom
Energy relative to the elements, uncorrected = 10.2 kcal/mol of atoms
Spin magnetization = 0.00 μB per formula unit
Symmetry = Pm-3m


A geometry-optimized Tm2CdFeC structure, computed with PBE-GGA. Values from VASP.

Structure (Quantum ESPRESSO input):
```
&SYSTEM
  ibrav = 0, nat = 5, ntyp = 4
/
ATOMIC_SPECIES
Tm 168.93 Tm.upf
Cd 112.41 Cd.upf
Fe 55.84 Fe.upf
C 12.01 C.upf
CELL_PARAMETERS angstrom
-1.083 0.910 -3.431
3.766 -2.592 -1.876
-2.857 -4.030 -0.167
ATOMIC_POSITIONS crystal
Tm 0.000 0.000 0.500
Tm 0.000 0.500 0.000
Cd 0.500 0.500 0.500
Fe 0.500 0.000 0.000
C 0.000 0.000 0.000
```

Computed properties:
Spin magnetization = 0.00 μB per formula unit
Symmetry = P4/mmm
DFT formation energy = -32.6 kJ/mol of atoms


A geometry-optimized BaCd2SnPd structure, computed with PBE-GGA. Values from VASP.

Structure (Quantum ESPRESSO input):
```
&SYSTEM
  ibrav = 0, nat = 5, ntyp = 4
/
ATOMIC_SPECIES
Ba 137.33 Ba.upf
Cd 112.41 Cd.upf
Sn 118.71 Sn.upf
Pd 106.42 Pd.upf
CELL_PARAMETERS angstrom
4.792 0.000 0.000
0.000 4.879 0.000
-2.396 -2.439 5.860
ATOMIC_POSITIONS crystal
Ba 0.444 0.444 0.889
Cd 0.701 0.201 0.403
Cd 0.048 0.048 0.096
Sn 0.205 0.705 0.409
Pd 0.814 0.814 0.627
```

Computed properties:
Energy above the lowest structure with this stoichiometry = 0 meV per atom
Spin magnetization = 0.00 μB per formula unit
Symmetry = Imm2
DFT formation energy = -44.1 kJ/mol of atoms


- Look up the spin magnetization of the second one.
  0.00 μB per formula unit


- What is the spin magnetization in the third record?
  0.00 μB per formula unit


What did the first record say?
A geometry-optimized ScAlIn structure, computed with PBE-GGA. Values from VASP.

Structure (Quantum ESPRESSO input):
```
&SYSTEM
  ibrav = 0, nat = 3, ntyp = 3
/
ATOMIC_SPECIES
Sc 44.96 Sc.upf
Al 26.98 Al.upf
In 114.82 In.upf
CELL_PARAMETERS angstrom
4.609 0.000 0.000
2.304 3.991 0.000
2.304 1.330 3.763
ATOMIC_POSITIONS crystal
Sc 0.500 0.500 0.500
Al 0.750 0.750 0.750
In 0.000 0.000 0.000
```

Computed properties:
Spin magnetization = 0.00 μB per formula unit
Symmetry = F-43m
DFT formation energy = -12.3 kJ/mol of atoms